Sc2Zn | the Alexandria database | PBE-GGA | optimized geometry; symmetry = Fd-3m (227); energy of formation = -22.73 kJ/mol of atoms; size of the total moment = 0.00 Bohr magnetons per cell; calculated volume = 20.866 Å³/atom
1.0
8.914 0.000 0.000
4.457 7.719 0.000
4.457 2.573 7.278
Sc Zn
16 8
Cartesian
4.457 0.000 0.000 Sc
16.172 8.675 6.836 Sc
7.258 1.617 0.442 Sc
13.371 7.058 2.261 Sc
10.569 8.675 6.836 Sc
11.715 4.191 2.261 Sc
11.715 6.102 5.017 Sc
8.914 4.485 0.442 Sc
6.112 6.102 5.017 Sc
1.655 1.617 0.442 Sc
2.228 1.287 3.639 Sc
6.685 1.287 3.639 Sc
6.112 4.191 2.261 Sc
8.914 5.808 6.836 Sc
4.457 3.235 5.017 Sc
8.914 5.146 3.639 Sc
8.914 7.719 4.678 Zn
7.323 6.801 2.080 Zn
10.505 3.492 5.198 Zn
7.323 3.492 5.198 Zn
10.505 6.801 2.080 Zn
4.457 1.837 2.080 Zn
13.371 8.455 5.198 Zn
8.914 2.573 2.600 Zn

=====

Dy2Tm5Th3 | the Alexandria database | PBE-GGA | optimized geometry; symmetry = C2/c (15); energy of formation = 22.56 kJ/mol of atoms; size of the total moment = 0.00 Bohr magnetons per cell; calculated volume = 32.005 Å³/atom
1.0
8.093 1.316 -3.677
-0.022 8.171 -3.724
-1.318 -1.478 10.851
Tm Th Dy
10 6 4
Cartesian
4.695 7.600 -2.767 Tm
3.548 2.161 3.092 Tm
7.263 2.421 0.381 Tm
6.026 5.099 2.566 Tm
0.728 2.910 0.883 Tm
2.178 4.614 -2.346 Tm
4.576 3.396 5.795 Tm
2.058 0.410 6.216 Tm
-0.510 5.588 3.068 Tm
3.205 5.848 0.357 Tm
-0.260 5.911 -0.192 Th
0.564 6.879 5.893 Th
5.638 4.545 -1.810 Th
6.189 1.131 -2.444 Th
7.013 2.098 3.641 Th
1.115 3.465 5.259 Th
2.839 5.461 3.586 Dy
1.523 7.979 -1.708 Dy
5.230 0.030 5.157 Dy
3.914 2.549 -0.137 Dy

=====

Rb4NpU3O12 | the Alexandria database | PBE-GGA | optimized geometry; symmetry = Im-3m (229); formation energy without anion corrections = -56.4 eV per formula unit; size of the total moment = 5.00 Bohr magnetons per cell; calculated volume = 16.521 Å³/atom
1.0
-3.623 -1.794 -6.368
4.018 -5.931 2.363
-5.020 1.908 5.297
O Rb U Np
12 4 3 1
Cartesian
-4.572 -0.949 1.380 O
-0.403 -3.943 2.829 O
0.294 -5.761 -2.987 O
-2.662 -1.983 3.562 O
0.100 -1.964 -1.018 O
-0.255 -1.023 1.947 O
-1.964 -3.834 -2.270 O
-4.223 -1.874 -1.537 O
-0.748 -3.000 5.713 O
-0.053 -4.868 -0.087 O
-6.446 0.085 -0.799 O
-2.197 0.029 -0.272 O
2.009 -2.965 1.182 Rb
-2.510 0.954 2.649 Rb
-1.812 -0.897 -3.184 Rb
-2.313 -2.908 0.646 Rb
-0.501 -2.011 3.830 U
0.197 -3.862 -2.003 U
-4.322 0.057 -0.536 U
0.000 0.000 0.000 Np

=====

Q: Which formula does entry 1 have?
A: Sc2Zn

=====

Q: What is the formula in the first record?
A: Sc2Zn

=====

Q: Among the records above, which one has the highest calculated volume?
A: Dy2Tm5Th3

=====

Q: What is the calculated volume in the second record?
A: 32.005 Å³/atom